# CsKAl2

An optimized crystal structure of CsKAl2 (PBE, Alexandria via LeMat-Bulk).

Magnetic moment, μB per cell: 0.00
Relative energy among the computed polymorphs, eV/f.u.: 0.145
Calculated volume, Å³/cell: 332
Formation enthalpy at 0 K, kJ/mol of formula units: 263.7
Energy, eV per cell: -13.407

POSCAR file:
```
CsKAl2
1.0
-5.0874 5.0874 3.2053
5.0874 -5.0874 3.2053
5.0874 5.0874 -3.2053
Cs K Al
2 2 4
Cartesian
0.0000 0.0000 0.0000
0.0000 5.0874 1.6026
5.0874 0.0000 1.6026
0.0000 0.0000 3.2053
2.5437 -2.4022 2.4039
2.6852 2.5437 0.8013
2.5437 7.4897 -0.8013
2.4022 2.5437 4.0066
```